# FeW2N, optimized geometry, DFT GGA-PBE
data_FeW2N
_cell_length_a 2.810
_cell_length_b 2.810
_cell_length_c 14.353
_cell_angle_alpha 90.00
_cell_angle_beta 90.00
_cell_angle_gamma 120.00
_space_group_name_H-M_alt 'P 1'
_space_group_IT_number 1
loop_
_space_group_symop_operation_xyz
'x,y,z'
loop_
_atom_site_label
_atom_site_fract_x
_atom_site_fract_y
_atom_site_fract_z
Fe1 0.667 0.333 0.250
Fe2 0.333 0.667 0.750
N1 0.000 0.000 0.000
N2 0.000 0.000 0.500
W1 0.333 0.667 0.101
W2 0.333 0.667 0.399
W3 0.667 0.333 0.601
W4 0.667 0.333 0.899
# Energy above the lowest structure with this stoichiometry = 194.7 meV per atom
# Total energy = -10.44 eV per atom
# Calculated volume = 12.27 Å³ per atom